# 1
NiAs2Os | GGA-PBE | relaxed

The energy relative to the elements is 1.140 eV per formula unit. The value obtained for the relative energy among the computed polymorphs is 0.81 eV/f.u. For the total DFT energy (no corrections), the calculation gives -6.29 eV per atom.

The space group is Fm-3m (No. 225) and the conventional cell measures 6.144, 6.144 and 6.144 Å, with angles of 90.00, 90.00 and 90.00 degrees. The distinct sites, in fractional coordinates, are Ni at (0.000, 0.000, 0.000), As at (0.250, 0.250, 0.250) and Os at (0.000, 0.000, 0.500).

---

# 2
NiAsOs3 | GGA-PBE | relaxed

The energy relative to the elements is 9.925 eV per formula unit. The value obtained for the relative energy among the computed polymorphs is 0.47 eV/f.u. For the total DFT energy (no corrections), the calculation gives -6.84 eV per atom.

The space group is Pm-3m (No. 221) and the conventional cell measures 4.446, 4.446 and 4.446 Å, with angles of 90.00, 90.00 and 90.00 degrees. The distinct sites, in fractional coordinates, are Ni at (0.000, 0.000, 0.000), As at (0.500, 0.500, 0.500) and Os at (0.000, 0.000, 0.500).

---

# 3
NiAsOs2 | GGA-PBE | relaxed

The energy relative to the elements is 2.290 eV per formula unit. For the total DFT energy (no corrections), the calculation gives -7.65 eV per atom.

The space group is Cmm2 (No. 35) and the conventional cell measures 2.760, 4.744 and 8.888 Å, with angles of 90.00, 90.00 and 90.00 degrees. The distinct sites, in fractional coordinates, are Ni at (0.000, 0.000, 0.000), As at (0.000, 0.500, 0.767), Os at (0.000, 0.000, 0.497) and Os at (0.000, 0.500, 0.246).

---

# 4
NiAs2Os | GGA-PBE | relaxed

The energy relative to the elements is 1.249 eV per formula unit. The value obtained for the relative energy among the computed polymorphs is 0.92 eV/f.u. For the total DFT energy (no corrections), the calculation gives -6.27 eV per atom.

The space group is P4/mmm (No. 123) and the conventional cell measures 4.355, 4.355 and 3.057 Å, with angles of 90.00, 90.00 and 90.00 degrees. The distinct sites, in fractional coordinates, are Ni at (0.000, 0.000, 0.000), As at (0.000, 0.500, 0.500) and Os at (0.500, 0.500, 0.000).

---

# 5
NiAsOs2 | GGA-PBE | relaxed

The energy relative to the elements is 1.312 eV per formula unit. For the total DFT energy (no corrections), the calculation gives -7.89 eV per atom.

The space group is C2/m (No. 12) and the conventional cell measures 8.398, 2.832 and 4.754 Å, with angles of 90.00, 97.63 and 90.00 degrees. The distinct sites, in fractional coordinates, are Ni at (0.000, 0.000, 0.000), As at (0.000, 0.500, 0.500) and Os at (0.235, 0.500, 0.231).

---

# 6
NiAs2Os | GGA-PBE | relaxed

The energy relative to the elements is 0.558 eV per formula unit. The value obtained for the relative energy among the computed polymorphs is 0.23 eV/f.u. For the total DFT energy (no corrections), the calculation gives -6.44 eV per atom.

The space group is R-3m (No. 166, hexagonal axes) and the conventional cell measures 3.0260, 3.0260 and 22.1234 Å, with angles of 90.00, 90.00 and 120.00 degrees. The distinct sites, in fractional coordinates, are Ni at (0.0000, 0.0000, 0.0000), As at (0.0000, 0.0000, 0.2528) and Os at (0.0000, 0.0000, 0.5000).

---

# 7
NiAs2Os | GGA-PBE | relaxed

The energy relative to the elements is 2.023 eV per formula unit. The value obtained for the relative energy among the computed polymorphs is 1.69 eV/f.u. For the total DFT energy (no corrections), the calculation gives -6.07 eV per atom.

The space group is Pmmm (No. 47) and the conventional cell measures 3.134, 3.946 and 4.874 Å, with angles of 90.00, 90.00 and 90.00 degrees. The distinct sites, in fractional coordinates, are Ni at (0.000, 0.000, 0.000), As at (0.000, 0.500, 0.500), As at (0.500, 0.500, 0.000) and Os at (0.500, 0.000, 0.500).

---

# 8
NiAs2Os | GGA-PBE | relaxed

The energy relative to the elements is 2.079 eV per formula unit. The value obtained for the relative energy among the computed polymorphs is 1.75 eV/f.u. For the total DFT energy (no corrections), the calculation gives -6.06 eV per atom.

The space group is C2/m (No. 12) and the conventional cell measures 5.713, 8.111 and 3.081 Å, with angles of 90.00, 121.19 and 90.00 degrees. The distinct sites, in fractional coordinates, are Ni at (0.000, 0.000, 0.000), As at (0.250, 0.250, 0.500) and Os at (0.000, 0.500, 0.000).

---

# 9
NiAs2Os | GGA-PBE | relaxed

The energy relative to the elements is 2.538 eV per formula unit. The value obtained for the relative energy among the computed polymorphs is 2.21 eV/f.u. For the total DFT energy (no corrections), the calculation gives -5.94 eV per atom.

The space group is F-43m (No. 216) and the conventional cell measures 6.201, 6.201 and 6.201 Å, with angles of 90.00, 90.00 and 90.00 degrees. The distinct sites, in fractional coordinates, are Ni at (0.000, 0.000, 0.000), As at (0.000, 0.000, 0.500), As at (0.250, 0.250, 0.250) and Os at (0.250, 0.250, 0.750).

---

# 10
NiAs2Os | GGA-PBE | relaxed

The energy relative to the elements is 1.435 eV per formula unit. The value obtained for the relative energy among the computed polymorphs is 1.11 eV/f.u. For the total DFT energy (no corrections), the calculation gives -6.22 eV per atom.

The space group is Cmm2 (No. 35) and the conventional cell measures 2.900, 4.794 and 9.734 Å, with angles of 90.00, 90.00 and 90.00 degrees. The distinct sites, in fractional coordinates, are Ni at (0.000, 0.000, 0.000), As at (0.000, 0.000, 0.567), As at (0.000, 0.500, 0.194) and Os at (0.000, 0.500, 0.778).

---

# 11
NiAs2Os | GGA-PBE | relaxed

The energy relative to the elements is 1.590 eV per formula unit. The value obtained for the relative energy among the computed polymorphs is 1.26 eV/f.u. For the total DFT energy (no corrections), the calculation gives -6.18 eV per atom.

The space group is I-4m2 (No. 119) and the conventional cell measures 3.698, 3.698 and 8.547 Å, with angles of 90.00, 90.00 and 90.00 degrees. The distinct sites, in fractional coordinates, are Ni at (0.000, 0.000, 0.000), As at (0.000, 0.000, 0.500), As at (0.000, 0.500, 0.250) and Os at (0.000, 0.500, 0.750).

---

# 12
NiAsOs2 | GGA-PBE | relaxed

The energy relative to the elements is 0.890 eV per formula unit. For the total DFT energy (no corrections), the calculation gives -8.00 eV per atom.

The space group is Pm (No. 6) and the conventional cell measures 2.827, 3.820 and 5.409 Å, with angles of 90.00, 105.12 and 90.00 degrees. The distinct sites, in fractional coordinates, are Ni at (0.000, 0.000, 0.000), As at (0.407, 0.500, 0.819), Os at (0.252, 0.000, 0.507) and Os at (0.640, 0.500, 0.280).

---

Copy entry 9 word for word.
NiAs2Os | GGA-PBE | relaxed

The energy relative to the elements is 2.538 eV per formula unit. The value obtained for the relative energy among the computed polymorphs is 2.21 eV/f.u. For the total DFT energy (no corrections), the calculation gives -5.94 eV per atom.

The space group is F-43m (No. 216) and the conventional cell measures 6.201, 6.201 and 6.201 Å, with angles of 90.00, 90.00 and 90.00 degrees. The distinct sites, in fractional coordinates, are Ni at (0.000, 0.000, 0.000), As at (0.000, 0.000, 0.500), As at (0.250, 0.250, 0.250) and Os at (0.250, 0.250, 0.750).